## Er4GaPt3 (PBE-GGA)

Data for crystalline Er4GaPt3 at its relaxed geometry.

The structure belongs to space group Pmm2 (No. 25); the cell edges are 3.749, 4.418 and 10.651 Å and the angles 90.00°, 90.00° and 90.00°. The asymmetric unit holds Er at (0.000, 0.000, 0.000), Er at (0.000, 0.500, 0.272), Er at (0.500, 0.000, 0.486), Er at (0.500, 0.500, 0.774), Ga at (0.000, 0.000, 0.711), Pt at (0.000, 0.500, 0.554), Pt at (0.500, 0.000, 0.221) and Pt at (0.500, 0.500, 0.044).

As for the crystal system: orthorhombic. As for the volume: 176.4 Å³ per cell. The calculation puts the total magnetization at 0.0 μB/cell. The formation energy from the elements is -1143 meV per atom. The calculation puts the raw total energy at -48.55 eV/f.u.

***

## Er2Ga12Pt7 (PBE-GGA)

Data for crystalline Er2Ga12Pt7 at its relaxed geometry.

The structure belongs to space group P-6 (No. 174); the cell edges are 10.6135, 10.6135 and 3.7536 Å and the angles 90.00°, 90.00° and 120.00°. The asymmetric unit holds Er at (0.0000, 0.0000, 0.0000), Er at (0.3333, 0.6667, 0.5000), Ga at (0.0456, 0.7667, 0.5000), Ga at (0.1202, 0.3951, 0.0000), Ga at (0.3872, 0.2158, 0.0000), Ga at (0.5259, 0.1125, 0.5000), Pt at (0.0698, 0.6058, 0.0000), Pt at (0.2439, 0.0338, 0.5000) and Pt at (0.6667, 0.3333, 0.0000).

As for the crystal system: hexagonal. As for the volume: 366.2 Å³ per cell. The calculation puts the total magnetization at 0.0 μB/cell. The formation energy from the elements is -712 meV per atom. The calculation puts the raw total energy at -102.69 eV/f.u.

***

## Er3Ga3Pt (PBE-GGA)

Data for crystalline Er3Ga3Pt at its relaxed geometry.

The structure belongs to space group C2/m (No. 12); the cell edges are 10.592, 4.304 and 14.168 Å and the angles 90.00°, 109.44° and 90.00°. The asymmetric unit holds Er at (0.030, 0.000, 0.380), Er at (0.106, 0.000, 0.925), Er at (0.238, 0.000, 0.234), Ga at (0.024, 0.500, 0.228), Ga at (0.110, 0.500, 0.076), Ga at (0.137, 0.500, 0.536) and Pt at (0.247, 0.500, 0.385).

As for the crystal system: monoclinic. As for the volume: 609.1 Å³ per cell. The calculation puts the total magnetization at 0.0 μB/cell. The formation energy from the elements is -829 meV per atom. The calculation puts the raw total energy at -34.61 eV/f.u.

***

## ErGa2Pt (PBE-GGA)

Data for crystalline ErGa2Pt at its relaxed geometry.

The structure belongs to space group P4/mmm (No. 123); the cell edges are 4.114, 4.114 and 4.399 Å and the angles 90.00°, 90.00° and 90.00°. The asymmetric unit holds Er at (0.000, 0.000, 0.000), Ga at (0.000, 0.500, 0.500) and Pt at (0.500, 0.500, 0.000).

As for the crystal system: tetragonal. As for the volume: 74.4 Å³ per cell. The calculation puts the total magnetization at 0.0 μB/cell. The formation energy from the elements is -697 meV per atom. The calculation puts the raw total energy at -19.44 eV/f.u.

***

## ErGaPt2 (PBE-GGA)

Data for crystalline ErGaPt2 at its relaxed geometry.

The structure belongs to space group P4/mmm (No. 123); the cell edges are 4.408, 4.408 and 3.718 Å and the angles 90.00°, 90.00° and 90.00°. The asymmetric unit holds Er at (0.000, 0.000, 0.000), Ga at (0.500, 0.500, 0.000) and Pt at (0.000, 0.500, 0.500).

As for the crystal system: tetragonal. As for the volume: 72.2 Å³ per cell. The calculation puts the total magnetization at 0.0 μB/cell. The formation energy from the elements is -882 meV per atom. The calculation puts the raw total energy at -23.20 eV/f.u.

***

## Er4Ga12Pt (PBE-GGA)

Data for crystalline Er4Ga12Pt at its relaxed geometry.

The structure belongs to space group Im-3m (No. 229); the cell edges are 8.585, 8.585 and 8.585 Å and the angles 90.00°, 90.00° and 90.00°. The asymmetric unit holds Er at (0.250, 0.250, 0.250), Ga at (0.000, 0.000, 0.297), Ga at (0.000, 0.250, 0.500) and Pt at (0.000, 0.000, 0.000).

As for the crystal system: cubic. As for the volume: 632.7 Å³ per cell. The calculation puts the total magnetization at 0.0 μB/cell. The formation energy from the elements is -614 meV per atom. The calculation puts the raw total energy at -71.06 eV/f.u.

***

## Er3GaPt12 (PBE-GGA)

Data for crystalline Er3GaPt12 at its relaxed geometry.

The structure belongs to space group P4/mmm (No. 123); the cell edges are 4.080, 4.080 and 16.131 Å and the angles 90.00°, 90.00° and 90.00°. The asymmetric unit holds Er at (0.000, 0.000, 0.000), Er at (0.000, 0.000, 0.254), Ga at (0.000, 0.000, 0.500), Pt at (0.000, 0.500, 0.128), Pt at (0.000, 0.500, 0.384), Pt at (0.500, 0.500, 0.000), Pt at (0.500, 0.500, 0.256) and Pt at (0.500, 0.500, 0.500).

As for the crystal system: tetragonal. As for the volume: 268.6 Å³ per cell. The calculation puts the total magnetization at 0.0 μB/cell. The formation energy from the elements is -909 meV per atom. The calculation puts the raw total energy at -103.76 eV/f.u.

***

## ErGaPt3 (PBE-GGA)

Data for crystalline ErGaPt3 at its relaxed geometry.

The structure belongs to space group Pmmn (No. 59, origin choice 2); the cell edges are 4.731, 5.714 and 6.769 Å and the angles 90.00°, 90.00° and 90.00°. The asymmetric unit holds Er at (0.250, 0.250, 0.172), Ga at (0.250, 0.750, 0.437), Pt at (0.250, 0.018, 0.725) and Pt at (0.250, 0.750, 0.078).

As for the crystal system: orthorhombic. The energy above the lowest structure with this stoichiometry comes out at 0.0 meV/atom. As for the volume: 183.0 Å³ per cell. The calculation puts the total magnetization at 0.0 μB/cell. The formation energy from the elements is -911 meV per atom. The calculation puts the raw total energy at -30.27 eV/f.u.

***

## ErGaPt2 (PBE-GGA)

Data for crystalline ErGaPt2 at its relaxed geometry.

The structure belongs to space group P4/mmm (No. 123); the cell edges are 3.376, 3.376 and 6.332 Å and the angles 90.00°, 90.00° and 90.00°. The asymmetric unit holds Er at (0.000, 0.000, 0.000), Ga at (0.000, 0.000, 0.500) and Pt at (0.500, 0.500, 0.277).

As for the crystal system: tetragonal. As for the volume: 72.2 Å³ per cell. The calculation puts the total magnetization at 0.0 μB/cell. The formation energy from the elements is -906 meV per atom. The calculation puts the raw total energy at -23.30 eV/f.u.

***

## Er3Ga7Pt2 (PBE-GGA)

Data for crystalline Er3Ga7Pt2 at its relaxed geometry.

The structure belongs to space group P2/m (No. 10); the cell edges are 4.218, 4.169 and 13.419 Å and the angles 90.00°, 98.93° and 90.00°. The asymmetric unit holds Er at (0.000, 0.000, 0.000), Er at (0.317, 0.500, 0.640), Ga at (0.083, 0.500, 0.160), Ga at (0.226, 0.000, 0.451), Ga at (0.419, 0.000, 0.839), Ga at (0.500, 0.500, 0.000) and Pt at (0.132, 0.000, 0.266).

As for the crystal system: monoclinic. As for the volume: 233.1 Å³ per cell. The calculation puts the total magnetization at 0.0 μB/cell. The formation energy from the elements is -745 meV per atom. The calculation puts the raw total energy at -55.90 eV/f.u.

***

## Er2Ga3Pt (PBE-GGA)

Data for crystalline Er2Ga3Pt at its relaxed geometry.

The structure belongs to space group Cm (No. 8); the cell edges are 10.234, 4.420 and 7.049 Å and the angles 90.00°, 132.04° and 90.00°. The asymmetric unit holds Er at (0.000, 0.000, 0.000), Er at (0.086, 0.000, 0.594), Ga at (0.209, 0.500, 0.395), Ga at (0.380, 0.000, 0.189), Ga at (0.385, 0.000, 0.597) and Pt at (0.211, 0.500, 0.003).

As for the crystal system: monoclinic. As for the volume: 236.8 Å³ per cell. The calculation puts the total magnetization at 0.0 μB/cell. The formation energy from the elements is -869 meV per atom. The calculation puts the raw total energy at -29.46 eV/f.u.

***

## Er5Ga2Pt (PBE-GGA)

Data for crystalline Er5Ga2Pt at its relaxed geometry.

The structure belongs to space group I4/mcm (No. 140); the cell edges are 7.307, 7.307 and 14.580 Å and the angles 90.00°, 90.00° and 90.00°. The asymmetric unit holds Er at (0.000, 0.000, 0.000), Er at (0.172, 0.328, 0.150), Ga at (0.122, 0.378, 0.500) and Pt at (0.000, 0.000, 0.250).

As for the crystal system: tetragonal. As for the volume: 778.5 Å³ per cell. The calculation puts the total magnetization at 0.0 μB/cell. The formation energy from the elements is -661 meV per atom. The calculation puts the raw total energy at -40.20 eV/f.u.

***

> Among the records above, which one has the lowest raw total energy?

Er3GaPt12

***

> Among the records above, which one has the lowest formation energy from the elements?

Er4GaPt3